(1)
The following is a DFT calculation (SCAN) of AlZn2Ag at its PBEsol-relaxed geometry.

POSCAR file:
```
AlZn2Ag
1.0
-1.930 0.970 1.938
-0.246 -4.687 -0.072
3.457 0.462 3.213
Zn Al Ag
2 1 1
direct
0.251 0.501 0.759
0.001 0.002 0.994
0.750 0.500 0.251
0.499 0.997 0.496
```

Calculated values
As for the density of states at the Fermi level: 1.3 states/eV/f.u. For the formation energy, the calculation gives -0.015 eV/atom.

=====

(2)
The following is a DFT calculation (SCAN) of Al2ZnAg at its PBEsol-relaxed geometry.

POSCAR file:
```
Al2ZnAg
1.0
3.970 0.000 0.000
0.000 3.970 0.000
-1.985 -1.985 4.019
Al Ag Zn
2 1 1
direct
0.000 0.000 0.000
0.750 0.250 0.500
0.250 0.750 0.500
0.500 0.500 0.000
```

Calculated values
As for the density of states at the Fermi level: 1.2 states/eV/f.u. For the formation energy, the calculation gives -0.002 eV/atom.

=====

(3)
The following is a DFT calculation (SCAN) of AlZnAg2 at its PBEsol-relaxed geometry.

POSCAR file:
```
AlZnAg2
1.0
-1.699 -1.420 -1.964
2.763 -0.111 -2.310
3.378 -3.650 4.215
Zn Ag Al
1 2 1
direct
0.000 0.500 0.500
0.250 0.000 0.250
0.750 0.000 0.750
0.500 0.500 0.000
```

Calculated values
As for the density of states at the Fermi level: 0.8 states/eV/f.u. For the formation energy, the calculation gives -0.063 eV/atom.

=====

(4)
The following is a DFT calculation (SCAN) of AlZn2Ag at its PBEsol-relaxed geometry.

POSCAR file:
```
AlZn2Ag
1.0
-1.868 -1.369 -1.549
-0.651 0.003 2.709
-4.467 7.318 -1.083
Zn Ag Al
2 1 1
direct
0.000 0.000 0.751
0.000 0.000 0.249
0.500 0.500 0.500
0.500 0.500 0.000
```

Calculated values
As for the density of states at the Fermi level: 1.3 states/eV/f.u. For the formation energy, the calculation gives 0.059 eV/atom.

=====

(5)
The following is a DFT calculation (SCAN) of AlZnAg2 at its PBEsol-relaxed geometry.

POSCAR file:
```
AlZnAg2
1.0
-1.013 -0.606 2.963
-1.944 -3.647 -1.410
5.191 -0.161 0.024
Al Zn Ag
1 1 2
direct
0.502 0.502 0.005
0.248 0.748 0.496
0.994 0.994 0.988
0.755 0.255 0.511
```

Calculated values
As for the density of states at the Fermi level: 0.7 states/eV/f.u. For the formation energy, the calculation gives -0.073 eV/atom.

=====

(6)
The following is a DFT calculation (SCAN) of Al2ZnAg at its PBEsol-relaxed geometry.

POSCAR file:
```
Al2ZnAg
1.0
-2.636 0.088 -0.911
-0.985 -2.758 2.582
-1.220 4.111 3.927
Al Zn Ag
2 1 1
direct
0.000 0.000 0.242
0.000 0.000 0.758
0.500 0.500 0.000
0.500 0.500 0.500
```

Calculated values
As for the density of states at the Fermi level: 1.2 states/eV/f.u. For the formation energy, the calculation gives -0.021 eV/atom.